1) This record from Alexandria via LeMat-Bulk describes MgSb2As after structural relaxation. The functional is PBE-GGA.

Calculated values
space-group type = Fm-3m

a b c (Å): 7.2609 7.2609 7.2609
angles (deg): 90.00 90.00 90.00
Atoms (fractional coordinates):
Mg1 0.0000 0.0000 0.0000
Mg2 0.0000 0.5000 0.5000
Mg3 0.5000 0.0000 0.5000
Mg4 0.5000 0.5000 0.0000
Sb1 0.2500 0.2500 0.2500
Sb2 0.2500 0.2500 0.7500
Sb3 0.2500 0.7500 0.2500
Sb4 0.2500 0.7500 0.7500
Sb5 0.7500 0.2500 0.2500
Sb6 0.7500 0.2500 0.7500
Sb7 0.7500 0.7500 0.2500
Sb8 0.7500 0.7500 0.7500
As1 0.0000 0.0000 0.5000
As2 0.0000 0.5000 0.0000
As3 0.5000 0.0000 0.0000
As4 0.5000 0.5000 0.5000

2) This record from Alexandria via LeMat-Bulk describes MgSb2As after structural relaxation. The functional is PBE-GGA.

Calculated values
space-group type = P4/mmm

a b c (Å): 5.0423 5.0423 3.7129
angles (deg): 90.00 90.00 90.00
Atoms (fractional coordinates):
Mg1 0.0000 0.0000 0.0000
Sb1 0.0000 0.5000 0.5000
Sb2 0.5000 0.0000 0.5000
As1 0.5000 0.5000 0.0000

2) has the most favorable energy; the next structure is 0.077 eV/atom above.

1) This record from Alexandria via LeMat-Bulk describes MgSb2As after structural relaxation. The functional is PBE-GGA.

Calculated values
space-group type = R3m

a b c (Å): 4.0727 4.0727 21.3556
angles (deg): 90.00 90.00 120.00
Atoms (fractional coordinates):
Mg1 0.0000 0.0000 0.0000
Mg2 0.3333 0.6667 0.6667
Mg3 0.6667 0.3333 0.3333
Sb1 0.0000 0.0000 0.2399
Sb2 0.0000 0.0000 0.4835
Sb3 0.3333 0.6667 0.1501
Sb4 0.3333 0.6667 0.9066
Sb5 0.6667 0.3333 0.5733
Sb6 0.6667 0.3333 0.8168
As1 0.0000 0.0000 0.7355
As2 0.3333 0.6667 0.4022
As3 0.6667 0.3333 0.0689

2) This record from Alexandria via LeMat-Bulk describes MgSb2As after structural relaxation. The functional is PBE-GGA.

Calculated values
space-group type = P4mm

a b c (Å): 3.5251 3.5251 7.5919
angles (deg): 90.00 90.00 90.00
Atoms (fractional coordinates):
Mg1 0.0000 0.0000 0.0000
Sb1 0.0000 0.0000 0.5763
Sb2 0.5000 0.5000 0.2582
As1 0.5000 0.5000 0.7988

3) This record from Alexandria via LeMat-Bulk describes MgSb2As after structural relaxation. The functional is PBE-GGA.

Calculated values
space-group type = Pmmm

a b c (Å): 3.7039 4.9339 5.2263
angles (deg): 90.00 90.00 90.00
Atoms (fractional coordinates):
Mg1 0.0000 0.0000 0.0000
Sb1 0.0000 0.5000 0.5000
Sb2 0.5000 0.5000 0.0000
As1 0.5000 0.0000 0.5000

1) has the most favorable energy; the next structure is 0.128 eV/atom above.